! KMnSn2Se6 | Alexandria via LeMat-Bulk | GGA-PBE | optimized geometry; values from VASP
! energy relative to the elements, uncorrected	-398	meV/atom
&SYSTEM
  ibrav = 0, nat = 20, ntyp = 4
/
ATOMIC_SPECIES
K 39.10 K.upf
Mn 54.94 Mn.upf
Sn 118.71 Sn.upf
Se 78.96 Se.upf
ATOMIC_POSITIONS crystal
K 0.250 0.880 0.120
K 0.750 0.120 0.880
Mn 0.250 0.262 0.738
Mn 0.750 0.738 0.262
Sn 0.277 0.798 0.636
Sn 0.223 0.364 0.202
Sn 0.723 0.202 0.364
Sn 0.777 0.636 0.798
Se 0.326 0.008 0.765
Se 0.174 0.235 0.992
Se 0.674 0.992 0.235
Se 0.826 0.765 0.008
Se 0.457 0.671 0.403
Se 0.043 0.597 0.329
Se 0.543 0.329 0.597
Se 0.957 0.403 0.671
Se 0.886 0.831 0.625
Se 0.614 0.375 0.169
Se 0.114 0.169 0.375
Se 0.386 0.625 0.831
CELL_PARAMETERS angstrom
6.777 -0.029 -0.030
2.114 9.613 0.123
2.114 -0.234 9.611


! CeYB | Alexandria via LeMat-Bulk | GGA-PBE | optimized geometry; values from VASP
! DFT total energy	-6.2457	eV per atom
&SYSTEM
  ibrav = 0, nat = 6, ntyp = 3
/
ATOMIC_SPECIES
Y 88.91 Y.upf
B 10.81 B.upf
Ce 140.12 Ce.upf
ATOMIC_POSITIONS crystal
Y 0.000 0.000 0.000
Y 0.500 0.000 0.500
B 0.000 0.500 0.428
B 0.000 0.500 0.572
Ce 0.500 0.500 0.239
Ce 0.500 0.500 0.761
CELL_PARAMETERS angstrom
-0.774 -0.410 3.323
3.617 -0.609 0.768
1.491 11.001 1.703


! ScAl2Ag | Alexandria via LeMat-Bulk | GGA-PBE | optimized geometry; values from VASP
! DFT total energy	-4.4281	eV per atom
&SYSTEM
  ibrav = 0, nat = 4, ntyp = 3
/
ATOMIC_SPECIES
Sc 44.96 Sc.upf
Al 26.98 Al.upf
Ag 107.87 Ag.upf
ATOMIC_POSITIONS crystal
Sc 0.500 0.500 0.250
Al 0.000 0.000 0.982
Al 0.000 0.000 0.518
Ag 0.500 0.500 0.750
CELL_PARAMETERS angstrom
-0.294 -1.806 -2.464
2.608 1.141 -1.148
3.957 -5.478 3.544


! MgPa2I8 | Alexandria via LeMat-Bulk | GGA-PBE | optimized geometry; values from VASP
! energy relative to the elements, uncorrected	-856	meV/atom
&SYSTEM
  ibrav = 0, nat = 11, ntyp = 3
/
ATOMIC_SPECIES
Mg 24.30 Mg.upf
Pa 231.04 Pa.upf
I 126.90 I.upf
ATOMIC_POSITIONS crystal
Mg 0.000 0.000 0.000
Pa 0.528 0.902 0.902
Pa 0.472 0.098 0.098
I 0.231 0.235 0.851
I 0.769 0.149 0.765
I 0.261 0.787 0.787
I 0.739 0.213 0.213
I 0.231 0.851 0.235
I 0.769 0.765 0.149
I 0.801 0.679 0.679
I 0.199 0.321 0.321
CELL_PARAMETERS angstrom
7.918 1.306 0.991
1.510 8.684 -0.317
1.510 2.033 8.448


! LaPm2Y | Alexandria via LeMat-Bulk | GGA-PBE | optimized geometry; values from VASP
! excess energy over the best structure of this formula in the dataset	7.4	meV/atom
&SYSTEM
  ibrav = 0, nat = 8, ntyp = 3
/
ATOMIC_SPECIES
La 138.91 La.upf
Pm 145.00 Pm.upf
Y 88.91 Y.upf
ATOMIC_POSITIONS crystal
La 0.000 0.250 0.000
La 0.000 0.750 0.000
Pm 0.500 0.500 0.254
Pm 0.500 0.500 0.746
Pm 0.500 0.000 0.746
Pm 0.500 0.000 0.254
Y 0.000 0.250 0.500
Y 0.000 0.750 0.500
CELL_PARAMETERS angstrom
5.171 0.000 0.471
0.000 7.337 0.000
-0.658 0.000 7.219


! LaDyTm3 | Alexandria via LeMat-Bulk | GGA-PBE | optimized geometry; values from VASP
! excess energy over the best structure of this formula in the dataset	160.5	meV/atom
&SYSTEM
  ibrav = 0, nat = 10, ntyp = 3
/
ATOMIC_SPECIES
La 138.91 La.upf
Dy 162.50 Dy.upf
Tm 168.93 Tm.upf
ATOMIC_POSITIONS crystal
La 0.309 0.118 0.250
La 0.691 0.882 0.750
Dy 0.984 0.467 0.250
Dy 0.016 0.533 0.750
Tm 0.846 0.191 0.996
Tm 0.154 0.809 0.004
Tm 0.846 0.191 0.504
Tm 0.154 0.809 0.496
Tm 0.645 0.791 0.250
Tm 0.355 0.209 0.750
CELL_PARAMETERS angstrom
3.659 0.003 0.000
-1.840 8.291 0.000
0.000 0.000 11.488


Respective spin magnetization values: 8.0 2.4 0.5 0.1 0.0 0.0 Bohr magnetons per cell.